# 1
## NaDyZnPb (PBE)

Data for an optimized crystal structure of NaDyZnPb.

Computed properties:
DOS(E_F): 1.38 states/eV/cell
Space-group type: F-43m
Energy relative to the elements: -0.22 eV/atom

Cell: 5.2177 5.2177 5.2177 Å, 60.00 60.00 60.00°
Sites, in units of the cell vectors:
Na 0.0000 0.0000 0.0000
Dy 0.5000 0.5000 0.5000
Zn 0.2500 0.2500 0.2500
Pb 0.7500 0.7500 0.7500

=====

# 2
## NaDyPd4 (PBE)

Data for an optimized crystal structure of NaDyPd4.

Computed properties:
DOS(E_F): 3.46 states/eV/cell
Space-group type: F-43m
Energy relative to the elements: -0.56 eV/atom

Cell: 5.3950 5.3950 5.3950 Å, 60.00 60.00 60.00°
Sites, in units of the cell vectors:
Na 0.0000 0.0000 0.0000
Dy 0.2500 0.2500 0.2500
Pd 0.1250 0.6250 0.6250
Pd 0.6250 0.1250 0.6250
Pd 0.6250 0.6250 0.1250
Pd 0.6250 0.6250 0.6250

=====

# 3
## NaDyPd (PBE)

Data for an optimized crystal structure of NaDyPd.

Computed properties:
DOS(E_F): 2.89 states/eV/cell
Space-group type: C2/m
Energy relative to the elements: -0.41 eV/atom

Cell: 4.0466 4.0466 9.4432 Å, 102.48 102.48 89.08°
Sites, in units of the cell vectors:
Na 0.2445 0.2445 0.4994
Na 0.7555 0.7555 0.5006
Dy 0.3150 0.3150 0.1302
Dy 0.6850 0.6850 0.8698
Pd 0.1533 0.1533 0.8054
Pd 0.8467 0.8467 0.1946

=====

# 4
## NaDySnPd (PBE)

Data for an optimized crystal structure of NaDySnPd.

Computed properties:
DOS(E_F): 1.23 states/eV/cell
Space-group type: F-43m
Energy relative to the elements: -0.43 eV/atom

Cell: 5.0579 5.0579 5.0579 Å, 60.00 60.00 60.00°
Sites, in units of the cell vectors:
Na 0.0000 0.0000 0.0000
Dy 0.5000 0.5000 0.5000
Sn 0.7500 0.7500 0.7500
Pd 0.2500 0.2500 0.2500

=====

# 5
## NaPmDy (PBE)

Data for an optimized crystal structure of NaPmDy.

Computed properties:
DOS(E_F): 7.81 states/eV/cell
Space-group type: Cmcm
Energy relative to the elements: 0.12 eV/atom
E above lowest polymorph: 0 meV/atom

Cell: 10.5824 10.5824 5.6393 Å, 90.00 90.00 160.80°
Sites, in units of the cell vectors:
Na 0.2078 0.7922 0.7500
Na 0.7922 0.2078 0.2500
Pm 0.3924 0.6076 0.7500
Pm 0.6076 0.3924 0.2500
Dy 0.0405 0.9595 0.7500
Dy 0.9595 0.0405 0.2500

=====

# 6
## NaPmDy (PBE)

Data for an optimized crystal structure of NaPmDy.

Computed properties:
DOS(E_F): 3.49 states/eV/cell
Space-group type: I4mm
Energy relative to the elements: 0.14 eV/atom
E above lowest polymorph: 23 meV/atom

Cell: 8.5575 8.5575 8.5575 Å, 156.20 156.20 33.92°
Sites, in units of the cell vectors:
Na 0.0000 0.0000 0.0000
Pm 0.6770 0.6770 0.0000
Dy 0.3271 0.3271 0.0000

=====

# 7
## NaPmDy (PBE)

Data for an optimized crystal structure of NaPmDy.

Computed properties:
DOS(E_F): 4.18 states/eV/cell
Space-group type: P3m1
Energy relative to the elements: 0.13 eV/atom
E above lowest polymorph: 4 meV/atom

Cell: 3.5766 3.5766 9.2178 Å, 90.00 90.00 120.00°
Sites, in units of the cell vectors:
Na 0.0000 0.0000 0.0000
Pm 0.6667 0.3333 0.3523
Dy 0.3333 0.6667 0.6542

=====

# 8
## NaPm4DyS8 (PBE)

Data for an optimized crystal structure of NaPm4DyS8.

Computed properties:
DOS(E_F): 0.00 states/eV/cell
Formation energy from raw total energies: -1.9318 eV per atom
Space-group type: R3m

Cell: 8.2393 8.2393 8.2393 Å, 60.55 60.55 60.55°
Sites, in units of the cell vectors:
Na 0.0000 0.0000 0.0000
Pm 0.1116 0.6280 0.6280
Pm 0.2480 0.2480 0.2480
Pm 0.6280 0.1116 0.6280
Pm 0.6280 0.6280 0.1116
Dy 0.6284 0.6284 0.6284
S 0.3818 0.3818 0.3818
S 0.3861 0.3861 0.8472
S 0.3861 0.8472 0.3861
S 0.4074 0.8593 0.8593
S 0.8472 0.3861 0.3861
S 0.8593 0.4074 0.8593
S 0.8593 0.8593 0.4074
S 0.8637 0.8637 0.8637

=====

# 9
## NaPmDy2S4 (PBE)

Data for an optimized crystal structure of NaPmDy2S4.

Computed properties:
DOS(E_F): 2.56 states/eV/cell
Formation energy from raw total energies: -1.9281 eV per atom
Space-group type: P2/m

Cell: 6.8817 3.9408 6.9086 Å, 90.00 109.04 90.00°
Sites, in units of the cell vectors:
Na 0.0000 0.0000 0.0000
Pm 0.5000 0.5000 0.0000
Dy 0.0000 0.5000 0.5000
Dy 0.5000 0.0000 0.5000
S 0.2443 0.0000 0.7407
S 0.2540 0.5000 0.2615
S 0.7460 0.5000 0.7385
S 0.7557 0.0000 0.2593

=====

# 10
## NaPm2Dy3S6 (PBE)

Data for an optimized crystal structure of NaPm2Dy3S6.

Computed properties:
DOS(E_F): 3.35 states/eV/cell
Formation energy from raw total energies: -1.9669 eV per atom
Space-group type: C2/m

Cell: 8.8998 8.8998 7.9854 Å, 103.27 103.27 25.63°
Sites, in units of the cell vectors:
Na 0.0000 0.0000 0.0000
Pm 0.3304 0.3304 0.6585
Pm 0.6696 0.6696 0.3415
Dy 0.0000 0.0000 0.5000
Dy 0.3346 0.3346 0.1727
Dy 0.6654 0.6654 0.8273
S 0.1622 0.1622 0.5904
S 0.1688 0.1688 0.0755
S 0.4987 0.4987 0.2562
S 0.5013 0.5013 0.7438
S 0.8312 0.8312 0.9245
S 0.8378 0.8378 0.4096

=====

# 11
## Na4PmDy3Se8 (PBE)

Data for an optimized crystal structure of Na4PmDy3Se8.

Computed properties:
DOS(E_F): 0.00 states/eV/cell
Formation energy from raw total energies: -1.7024 eV per atom
Space-group type: R-3m

Cell: 8.5065 8.5065 8.5065 Å, 58.76 58.76 58.76°
Sites, in units of the cell vectors:
Na 0.0000 0.0000 0.0000
Na 0.0000 0.5000 0.5000
Na 0.5000 0.0000 0.5000
Na 0.5000 0.5000 0.0000
Pm 0.5000 0.5000 0.5000
Dy 0.0000 0.0000 0.5000
Dy 0.0000 0.5000 0.0000
Dy 0.5000 0.0000 0.0000
Se 0.2382 0.7466 0.7466
Se 0.2429 0.2429 0.2429
Se 0.2534 0.2534 0.7618
Se 0.2534 0.7618 0.2534
Se 0.7466 0.2382 0.7466
Se 0.7466 0.7466 0.2382
Se 0.7571 0.7571 0.7571
Se 0.7618 0.2534 0.2534

=====

# 12
## Na3Pm2DySe6 (PBE)

Data for an optimized crystal structure of Na3Pm2DySe6.

Computed properties:
DOS(E_F): 0.00 states/eV/cell
Formation energy from raw total energies: -1.6964 eV per atom
Space-group type: C2/m

Cell: 7.3076 7.3076 7.4218 Å, 99.45 99.45 120.00°
Sites, in units of the cell vectors:
Na 0.0000 0.0000 0.0000
Na 0.3327 0.6673 0.0000
Na 0.6673 0.3327 0.0000
Pm 0.1665 0.8335 0.5000
Pm 0.8335 0.1665 0.5000
Dy 0.5000 0.5000 0.5000
Se 0.0951 0.4223 0.2668
Se 0.2506 0.2506 0.7326
Se 0.4223 0.0951 0.2668
Se 0.5777 0.9049 0.7332
Se 0.7494 0.7494 0.2674
Se 0.9049 0.5777 0.7332

=====

# 13
## NaPm3Dy2Se6 (PBE)

Data for an optimized crystal structure of NaPm3Dy2Se6.

Computed properties:
DOS(E_F): 3.88 states/eV/cell
Formation energy from raw total energies: -1.7695 eV per atom
Space-group type: C2/m

Cell: 9.3017 9.3017 8.3410 Å, 103.07 103.07 25.71°
Sites, in units of the cell vectors:
Na 0.0000 0.0000 0.0000
Pm 0.0000 0.0000 0.5000
Pm 0.3385 0.3385 0.1754
Pm 0.6615 0.6615 0.8246
Dy 0.3343 0.3343 0.6612
Dy 0.6657 0.6657 0.3388
Se 0.1681 0.1681 0.0902
Se 0.1690 0.1690 0.5783
Se 0.4956 0.4956 0.7522
Se 0.5044 0.5044 0.2478
Se 0.8310 0.8310 0.4217
Se 0.8319 0.8319 0.9098

=====

# 14
## Na2PmDySe4 (PBE)

Data for an optimized crystal structure of Na2PmDySe4.

Computed properties:
DOS(E_F): 0.00 states/eV/cell
Formation energy from raw total energies: -1.6979 eV per atom
Space-group type: P2/m

Cell: 7.2736 4.1993 7.4229 Å, 90.00 109.08 90.00°
Sites, in units of the cell vectors:
Na 0.0000 0.0000 0.0000
Na 0.5000 0.5000 0.0000
Pm 0.0000 0.5000 0.5000
Dy 0.5000 0.0000 0.5000
Se 0.2504 0.0000 0.7334
Se 0.2619 0.5000 0.2694
Se 0.7381 0.5000 0.7306
Se 0.7496 0.0000 0.2666

=====

# 15
## Na2Pm3DySe6 (PBE)

Data for an optimized crystal structure of Na2Pm3DySe6.

Computed properties:
DOS(E_F): 3.35 states/eV/cell
Formation energy from raw total energies: -1.7316 eV per atom
Space-group type: C2/m

Cell: 7.2374 7.2374 7.2636 Å, 99.53 99.53 119.95°
Sites, in units of the cell vectors:
Na 0.1656 0.8344 0.0000
Na 0.8344 0.1656 0.0000
Pm 0.0000 0.0000 0.5000
Pm 0.3300 0.6700 0.5000
Pm 0.6700 0.3300 0.5000
Dy 0.5000 0.5000 0.0000
Se 0.0913 0.4183 0.7549
Se 0.2573 0.2573 0.2500
Se 0.4183 0.0913 0.7549
Se 0.5817 0.9087 0.2451
Se 0.7427 0.7427 0.7500
Se 0.9087 0.5817 0.2451

=====

# 16
## Na3PmDy2Se6 (PBE)

Data for an optimized crystal structure of Na3PmDy2Se6.

Computed properties:
DOS(E_F): 0.00 states/eV/cell
Formation energy from raw total energies: -1.7015 eV per atom
Space-group type: C2/m

Cell: 7.2434 7.2434 7.4143 Å, 99.38 99.38 120.01°
Sites, in units of the cell vectors:
Na 0.0000 0.0000 0.0000
Na 0.3343 0.6657 0.0000
Na 0.6657 0.3343 0.0000
Pm 0.5000 0.5000 0.5000
Dy 0.1668 0.8332 0.5000
Dy 0.8332 0.1668 0.5000
Se 0.0833 0.4229 0.2690
Se 0.2375 0.2375 0.7314
Se 0.4229 0.0833 0.2690
Se 0.5771 0.9167 0.7310
Se 0.7625 0.7625 0.2686
Se 0.9167 0.5771 0.7310

=====

# 17
## Na2PmDy3Se6 (PBE)

Data for an optimized crystal structure of Na2PmDy3Se6.

Computed properties:
DOS(E_F): 3.07 states/eV/cell
Formation energy from raw total energies: -1.7282 eV per atom
Space-group type: C2/m

Cell: 7.1372 7.1372 7.2430 Å, 99.45 99.45 119.95°
Sites, in units of the cell vectors:
Na 0.1663 0.8337 0.0000
Na 0.8337 0.1663 0.0000
Pm 0.5000 0.5000 0.0000
Dy 0.0000 0.0000 0.5000
Dy 0.3321 0.6679 0.5000
Dy 0.6679 0.3321 0.5000
Se 0.0805 0.4139 0.7419
Se 0.2541 0.2541 0.2610
Se 0.4139 0.0805 0.7419
Se 0.5861 0.9195 0.2581
Se 0.7459 0.7459 0.7390
Se 0.9195 0.5861 0.2581

=====

# 18
## NaPmDySn (PBE)

Data for an optimized crystal structure of NaPmDySn.

Computed properties:
DOS(E_F): 3.42 states/eV/cell
Space-group type: F-43m
Energy relative to the elements: -0.29 eV/atom

Cell: 5.3935 5.3935 5.3935 Å, 60.00 60.00 60.00°
Sites, in units of the cell vectors:
Na 0.0000 0.0000 0.0000
Pm 0.2500 0.2500 0.2500
Dy 0.7500 0.7500 0.7500
Sn 0.5000 0.5000 0.5000

=====

# 19
## NaPm2DyTe4 (PBE)

Data for an optimized crystal structure of NaPm2DyTe4.

Computed properties:
DOS(E_F): 3.30 states/eV/cell
Formation energy from raw total energies: -1.3497 eV per atom
Space-group type: P2/m

Cell: 7.7120 4.4138 7.7269 Å, 90.00 108.95 90.00°
Sites, in units of the cell vectors:
Na 0.0000 0.0000 0.0000
Pm 0.0000 0.5000 0.5000
Pm 0.5000 0.0000 0.5000
Dy 0.5000 0.5000 0.0000
Te 0.2513 0.5000 0.2450
Te 0.2538 0.0000 0.7585
Te 0.7462 0.0000 0.2415
Te 0.7487 0.5000 0.7550

=====

# 20
## Na2PmDyTe4 (PBE)

Data for an optimized crystal structure of Na2PmDyTe4.

Computed properties:
Formation energy from raw total energies: -1.3215 eV per atom
Space-group type: P2/m

Cell: 7.7478 4.4745 8.0039 Å, 90.00 108.87 90.00°
Sites, in units of the cell vectors:
Na 0.0000 0.0000 0.0000
Na 0.5000 0.5000 0.0000
Pm 0.0000 0.5000 0.5000
Dy 0.5000 0.0000 0.5000
Te 0.2509 0.0000 0.7361
Te 0.2607 0.5000 0.2667
Te 0.7393 0.5000 0.7333
Te 0.7491 0.0000 0.2639

=====

# 21
## Na2PmDy3Te6 (PBE)

Data for an optimized crystal structure of Na2PmDy3Te6.

Computed properties:
DOS(E_F): 3.64 states/eV/cell
Formation energy from raw total energies: -1.3233 eV per atom
Space-group type: C2/m

Cell: 7.6289 7.6289 7.7638 Å, 99.43 99.43 119.97°
Sites, in units of the cell vectors:
Na 0.1666 0.8334 0.0000
Na 0.8334 0.1666 0.0000
Pm 0.5000 0.5000 0.0000
Dy 0.0000 0.0000 0.5000
Dy 0.3327 0.6673 0.5000
Dy 0.6673 0.3327 0.5000
Te 0.0806 0.4143 0.7428
Te 0.2529 0.2529 0.2590
Te 0.4143 0.0806 0.7428
Te 0.5857 0.9194 0.2572
Te 0.7471 0.7471 0.7410
Te 0.9194 0.5857 0.2572

=====

# 22
## NaPmDy2Te4 (PBE)

Data for an optimized crystal structure of NaPmDy2Te4.

Computed properties:
DOS(E_F): 3.05 states/eV/cell
Formation energy from raw total energies: -1.3331 eV per atom
Space-group type: P2/m

Cell: 7.6822 4.3778 7.6971 Å, 90.00 108.87 90.00°
Sites, in units of the cell vectors:
Na 0.0000 0.0000 0.0000
Pm 0.5000 0.5000 0.0000
Dy 0.0000 0.5000 0.5000
Dy 0.5000 0.0000 0.5000
Te 0.2448 0.0000 0.7430
Te 0.2517 0.5000 0.2577
Te 0.7483 0.5000 0.7423
Te 0.7552 0.0000 0.2570

=====

# 23
## NaPmDyTl (PBE)

Data for an optimized crystal structure of NaPmDyTl.

Computed properties:
DOS(E_F): 5.03 states/eV/cell
Space-group type: F-43m
Energy relative to the elements: -0.07 eV/atom

Cell: 5.4660 5.4660 5.4660 Å, 60.00 60.00 60.00°
Sites, in units of the cell vectors:
Na 0.0000 0.0000 0.0000
Pm 0.2500 0.2500 0.2500
Dy 0.7500 0.7500 0.7500
Tl 0.5000 0.5000 0.5000

=====

# 24
## NaPm2DyTl4 (PBE)

Data for an optimized crystal structure of NaPm2DyTl4.

Computed properties:
DOS(E_F): 5.67 states/eV/cell
Space-group type: R-3m
Energy relative to the elements: -0.31 eV/atom

Cell: 9.4861 9.4861 9.4861 Å, 32.97 32.97 32.97°
Sites, in units of the cell vectors:
Na 0.0000 0.0000 0.0000
Pm 0.2551 0.2551 0.2551
Pm 0.7449 0.7449 0.7449
Dy 0.5000 0.5000 0.5000
Tl 0.1258 0.1258 0.1258
Tl 0.3761 0.3761 0.3761
Tl 0.6239 0.6239 0.6239
Tl 0.8742 0.8742 0.8742

=====

Number 1: M_tot 0.00 μB per formula unit. Number 2: M_tot 0.00 μB per formula unit. Number 3: M_tot 0.00 μB per formula unit. Number 4: M_tot 0.00 μB per formula unit. Number 5: M_tot 0.00 μB per formula unit. Number 6: M_tot 0.00 μB per formula unit. Number 7: M_tot 0.00 μB per formula unit. Number 8: M_tot 0.00 μB per formula unit. Number 9: M_tot 0.00 μB per formula unit. Number 10: M_tot 0.00 μB per formula unit. Number 11: M_tot 0.00 μB per formula unit. Number 12: M_tot 0.00 μB per formula unit. Number 13: M_tot 0.00 μB per formula unit. Number 14: M_tot 0.00 μB per formula unit. Number 15: M_tot 0.00 μB per formula unit. Number 16: M_tot 0.00 μB per formula unit. Number 17: M_tot 0.00 μB per formula unit. Number 18: M_tot 0.01 μB per formula unit. Number 19: M_tot 0.00 μB per formula unit. Number 20: M_tot 0.00 μB per formula unit. Number 21: M_tot 0.00 μB per formula unit. Number 22: M_tot 0.00 μB per formula unit. Number 23: M_tot 0.00 μB per formula unit. Number 24: M_tot 0.00 μB per formula unit.